1.
The following is a DFT calculation (GGA-PBE) of an optimized crystal structure of CuSbTe2.

Values from the calculation:
* crystal system: orthorhombic
* E_tot: -12.8 eV/cell
* energy relative to the elements, uncorrected: 0.436 eV/atom
* mass density: 7.42 g/cm3

Cell and atoms, written as CIF:
```
data_CuSbTe2
_space_group_name_H-M_alt 'P m m m'
_space_group_IT_number 47
_cell_length_a 3.539
_cell_length_b 5.106
_cell_length_c 5.456
_cell_angle_alpha 90.00
_cell_angle_beta 90.00
_cell_angle_gamma 90.00
loop_
_space_group_symop_operation_xyz
'x,y,z'
'-x,-y,-z'
'-x,-y,z'
'x,y,-z'
'x,-y,-z'
'-x,y,z'
'-x,y,-z'
'x,-y,z'
loop_
_atom_site_label
_atom_site_fract_x
_atom_site_fract_y
_atom_site_fract_z
Cu1 0.000 0.000 0.000
Sb1 0.500 0.500 0.000
Te1 0.000 0.500 0.500
Te2 0.500 0.000 0.500
```


2.
The following is a DFT calculation (GGA-PBE) of an optimized crystal structure of Cu2SbTe.

Values from the calculation:
* crystal system: cubic
* E_tot: -55.8 eV/cell
* energy relative to the elements, uncorrected: 0.377 eV/atom
* mass density: 7.91 g/cm3

Cell and atoms, written as CIF:
```
data_Cu2SbTe
_space_group_name_H-M_alt 'F m -3 m'
_space_group_IT_number 225
_space_group_name_Hall '-F 4 2 3'
_cell_length_a 6.813
_cell_length_b 6.813
_cell_length_c 6.813
_cell_angle_alpha 90.00
_cell_angle_beta 90.00
_cell_angle_gamma 90.00
loop_
_atom_site_label
_atom_site_fract_x
_atom_site_fract_y
_atom_site_fract_z
Cu1 0.250 0.250 0.250
Sb1 0.000 0.000 0.000
Te1 0.000 0.000 0.500
```


3.
The following is a DFT calculation (GGA-PBE) of an optimized crystal structure of CuSbTe2.

Values from the calculation:
* crystal system: orthorhombic
* E_tot: -27.0 eV/cell
* energy relative to the elements, uncorrected: 0.251 eV/atom
* mass density: 7.38 g/cm3

Cell and atoms, written as CIF:
```
data_CuSbTe2
_space_group_name_H-M_alt 'C m m m'
_space_group_IT_number 65
_space_group_name_Hall '-C 2 2'
_cell_length_a 3.792
_cell_length_b 5.662
_cell_length_c 9.231
_cell_angle_alpha 90.00
_cell_angle_beta 90.00
_cell_angle_gamma 90.00
loop_
_atom_site_label
_atom_site_fract_x
_atom_site_fract_y
_atom_site_fract_z
Cu1 0.000 0.000 0.000
Sb1 0.000 0.000 0.500
Te1 0.000 0.500 0.200
```


4.
The following is a DFT calculation (GGA-PBE) of an optimized crystal structure of CuSbTe2.

Values from the calculation:
* crystal system: tetragonal
* E_tot: -13.7 eV/cell
* energy relative to the elements, uncorrected: 0.210 eV/atom
* mass density: 7.11 g/cm3

Cell and atoms, written as CIF:
```
data_CuSbTe2
_space_group_name_H-M_alt 'P 4 m m'
_space_group_IT_number 99
_cell_length_a 3.319
_cell_length_b 3.319
_cell_length_c 9.339
_cell_angle_alpha 90.00
_cell_angle_beta 90.00
_cell_angle_gamma 90.00
loop_
_space_group_symop_operation_xyz
'x,y,z'
'-y,x,z'
'-x,-y,z'
'y,-x,z'
'-x,y,z'
'y,x,z'
'x,-y,z'
'-y,-x,z'
loop_
_atom_site_label
_atom_site_fract_x
_atom_site_fract_y
_atom_site_fract_z
Cu1 0.000 0.000 0.000
Sb1 0.500 0.500 0.170
Te1 0.000 0.000 0.469
Te2 0.500 0.500 0.826
```